Arrangement w

Entry from Alexandria: a relaxed MnReNF2 crystal (PBE+U).

a = 3.807 Å, b = 3.807 Å, c = 4.704 Å
α = 90.00°, β = 90.00°, γ = 90.00°
Positions (direct):
1 Re 0.500 0.500 0.500
2 N 0.000 0.000 0.500
3 Mn 0.000 0.000 0.000
4 F 0.000 0.500 0.000
5 F 0.500 0.000 0.000

Values from the calculation:
The space group is P4/mmm, No. 123. Its magnetic moment is 1.7794 μB per atom. For the density of states at the Fermi level, the calculation gives 0.323 states/eV per atom.


Arrangement x

Entry from Alexandria: a relaxed MnReNF2 crystal (PBE+U).

a = 4.281 Å, b = 4.281 Å, c = 3.836 Å
α = 90.00°, β = 90.00°, γ = 90.00°
Positions (direct):
1 Re 0.000 0.000 0.000
2 N 0.000 0.000 0.500
3 Mn 0.500 0.500 0.500
4 F 0.000 0.500 0.000
5 F 0.500 0.000 0.000

Values from the calculation:
The space group is P4/mmm, No. 123. Its magnetic moment is 0.9693 μB per atom. For the density of states at the Fermi level, the calculation gives 0.614 states/eV per atom.


Here are the energies relative to the best structure, in meV/atom: arrangement w 478; arrangement x 0.


Arrangement w

Entry from Alexandria: a relaxed MnRhNF2 crystal (PBE+U).

a = 4.398 Å, b = 4.398 Å, c = 3.697 Å
α = 90.00°, β = 90.00°, γ = 90.00°
Positions (direct):
1 N 0.000 0.000 0.500
2 Mn 0.500 0.500 0.500
3 Rh 0.000 0.000 0.000
4 F 0.000 0.500 0.000
5 F 0.500 0.000 0.000

Values from the calculation:
The space group is P4/mmm, No. 123. Its magnetic moment is 1.0064 μB per atom. For the density of states at the Fermi level, the calculation gives 0.358 states/eV per atom.


Arrangement x

Entry from Alexandria: a relaxed MnRhNF2 crystal (PBE+U).

a = 3.831 Å, b = 3.831 Å, c = 4.288 Å
α = 90.00°, β = 90.00°, γ = 90.00°
Positions (direct):
1 N 0.000 0.000 0.500
2 Mn 0.000 0.000 0.000
3 Rh 0.500 0.500 0.500
4 F 0.000 0.500 0.000
5 F 0.500 0.000 0.000

Values from the calculation:
The space group is P4/mmm, No. 123. Its magnetic moment is 1.1070 μB per atom. For the density of states at the Fermi level, the calculation gives 1.028 states/eV per atom.


Here are the energies relative to the best structure, in meV/atom: arrangement w 0; arrangement x 185.


Arrangement w

Entry from Alexandria: a relaxed MnRuNF2 crystal (PBE+U).

a = 3.928 Å, b = 3.928 Å, c = 4.147 Å
α = 90.00°, β = 90.00°, γ = 90.00°
Positions (direct):
1 Ru 0.500 0.500 0.500
2 N 0.000 0.000 0.500
3 Mn 0.000 0.000 0.000
4 F 0.000 0.500 0.000
5 F 0.500 0.000 0.000

Values from the calculation:
The space group is P4/mmm, No. 123. Its magnetic moment is 1.5004 μB per atom. For the density of states at the Fermi level, the calculation gives 0.680 states/eV per atom.


Arrangement x

Entry from Alexandria: a relaxed MnRuNF2 crystal (PBE+U).

a = 4.283 Å, b = 4.283 Å, c = 3.757 Å
α = 90.00°, β = 90.00°, γ = 90.00°
Positions (direct):
1 Ru 0.000 0.000 0.000
2 N 0.000 0.000 0.500
3 Mn 0.500 0.500 0.500
4 F 0.000 0.500 0.000
5 F 0.500 0.000 0.000

Values from the calculation:
The space group is P4/mmm, No. 123. Its magnetic moment is 1.0352 μB per atom. For the density of states at the Fermi level, the calculation gives 0.406 states/eV per atom.


Here are the energies relative to the best structure, in meV/atom: arrangement w 348; arrangement x 0.